[1]
Density functional theory data (GGA-PBE) for a relaxed NdN crystal.

Cell and atoms, written as CIF:
```
data_NdN
_chemical_formula_sum 'Nd4 N4'
_cell_length_a 5.166
_cell_length_b 5.166
_cell_length_c 5.166
_cell_angle_alpha 90.00
_cell_angle_beta 90.00
_cell_angle_gamma 90.00
_symmetry_space_group_name_H-M 'F m -3 m'
_symmetry_Int_Tables_number 225
_symmetry_space_group_name_Hall '-F 4 2 3'
loop_
_atom_site_label
_atom_site_type_symbol
_atom_site_fract_x
_atom_site_fract_y
_atom_site_fract_z
_atom_site_occupancy
Nd1 Nd 0.000 0.000 0.000 1
N1 N 0.000 0.000 0.500 1
```

Computed properties:
* E_tot: -0.2905 Ha/atom
* density: 7.6 Mg/m³
* total magnetization: 0.0 μB per formula unit
* density of states at the Fermi level: 0.34 states/eV/f.u.
* formation energy (no corrections): -1.358 eV/atom

***

[2]
Density functional theory data (GGA-PBE) for a relaxed TbCuHg crystal.

Cell and atoms, written as CIF:
```
data_TbCuHg
_chemical_formula_sum 'Tb4 Cu4 Hg4'
_cell_length_a 6.534
_cell_length_b 6.534
_cell_length_c 6.534
_cell_angle_alpha 90.00
_cell_angle_beta 90.00
_cell_angle_gamma 90.00
_symmetry_space_group_name_H-M 'F -4 3 m'
_symmetry_Int_Tables_number 216
_symmetry_space_group_name_Hall 'F -4 2 3'
loop_
_atom_site_label
_atom_site_type_symbol
_atom_site_fract_x
_atom_site_fract_y
_atom_site_fract_z
_atom_site_occupancy
Tb1 Tb 0.000 0.000 0.000 1
Cu1 Cu 0.250 0.250 0.250 1
Hg1 Hg 0.000 0.000 0.500 1
```

Computed properties:
* E_tot: -0.1182 Ha/atom
* density: 10.1 Mg/m³
* total magnetization: 0.0 μB per formula unit
* density of states at the Fermi level: 3.67 states/eV/f.u.
* formation energy: -208 meV/atom

***

[3]
Density functional theory data (GGA-PBE) for a relaxed Ac2BrO6 crystal.

Cell and atoms, written as CIF:
```
data_Ac2BrO6
_chemical_formula_sum 'Ac4 Br2 O12'
_cell_length_a 5.637
_cell_length_b 6.374
_cell_length_c 9.541
_cell_angle_alpha 90.00
_cell_angle_beta 123.23
_cell_angle_gamma 90.00
_symmetry_space_group_name_H-M 'P 1 21/c 1'
_symmetry_Int_Tables_number 14
loop_
_symmetry_equiv_pos_as_xyz
'x,y,z'
'-x,-y,-z'
'-x,y+1/2,-z+1/2'
'x,-y+1/2,z+1/2'
loop_
_atom_site_label
_atom_site_type_symbol
_atom_site_fract_x
_atom_site_fract_y
_atom_site_fract_z
_atom_site_occupancy
Ac1 Ac 0.226 0.082 0.253 1
Br1 Br 0.500 0.000 0.000 1
O1 O 0.176 0.156 0.962 1
O2 O 0.292 0.735 0.949 1
O3 O 0.360 0.033 0.768 1
```

Computed properties:
* E_tot: -0.2261 Ha/atom
* density: 7.3 Mg/m³
* total magnetization: 0.8 μB per formula unit
* density of states at the Fermi level: 3.21 states/eV/f.u.
* formation energy (no corrections): -1.748 eV/atom

***

What is the E_tot in the third record?
-0.2261 Ha/atom